Material: Tb3Dy2ErSb6
Method: DFT, PBE-GGA
State: relaxed

```
12
Lattice="9.558 -2.193 0.000 9.558 2.193 0.000 -2.004 0.000 8.540" Properties=species:S:1:pos:R:3 pbc="T T T"
Tb 0.000 0.000 0.000
Tb 5.032 0.000 5.693
Tb 12.081 0.000 2.847
Dy 6.040 0.000 1.425
Dy 11.073 0.000 7.115
Er -1.002 0.000 4.270
Sb 2.000 0.000 4.984
Sb 3.026 0.000 0.705
Sb 9.050 0.000 2.154
Sb 8.063 0.000 6.386
Sb 14.087 0.000 7.835
Sb 15.113 0.000 3.557
```

Values from the calculation:
Space group: C2/m, No. 12
Calculated density: 7.88 Mg/m³
Energy relative to the elements, uncorrected: -13.6 eV/f.u.
Volume: 29.8 Å³/atom


Material: Tb2DyEr3Sb6
Method: DFT, PBE-GGA
State: relaxed

```
12
Lattice="9.529 -2.186 0.000 9.529 2.186 0.000 -1.996 0.000 8.514" Properties=species:S:1:pos:R:3 pbc="T T T"
Tb 2.510 0.000 2.835
Tb 14.552 0.000 5.679
Dy 9.529 0.000 0.000
Er 1.516 0.000 7.094
Er 8.531 0.000 4.257
Er 15.545 0.000 1.421
Sb -1.478 0.000 6.377
Sb 4.510 0.000 7.825
Sb 5.538 0.000 3.534
Sb 11.523 0.000 4.981
Sb 12.551 0.000 0.689
Sb 18.540 0.000 2.137
```

Values from the calculation:
Space group: C2/m, No. 12
Calculated density: 8.02 Mg/m³
Energy relative to the elements, uncorrected: -13.4 eV/f.u.
Volume: 29.6 Å³/atom


Material: TbDyEr2Sb4
Method: DFT, PBE-GGA
State: relaxed

```
8
Lattice="7.572 0.000 0.000 0.000 4.375 0.000 -2.524 0.000 7.139" Properties=species:S:1:pos:R:3 pbc="T T T"
Tb 0.000 0.000 0.000
Dy -1.262 2.187 3.570
Er 2.524 0.000 3.570
Er 3.786 2.187 0.000
Sb 0.020 0.000 5.357
Sb 1.280 2.187 1.796
Sb 5.028 0.000 1.782
Sb 3.768 2.187 5.343
```

Values from the calculation:
Space group: P2/m, No. 10
Calculated density: 8.03 Mg/m³
Energy relative to the elements, uncorrected: -8.9 eV/f.u.
Volume: 29.6 Å³/atom


Material: DyErSbTe
Method: DFT, PBE-GGA
State: relaxed

```
4
Lattice="2.134 1.232 7.500 -2.134 1.232 7.500 0.000 -2.464 7.500" Properties=species:S:1:pos:R:3 pbc="T T T"
Dy 0.000 0.000 0.000
Er 0.000 0.000 18.492
Sb 0.000 0.000 9.302
Te 0.000 0.000 5.457
```

Values from the calculation:
Space group: R3m, No. 160
Calculated density: 8.13 Mg/m³
Energy relative to the elements, uncorrected: -4.7 eV/f.u.
Volume: 29.6 Å³/atom


Material: DyEr2ThSb4
Method: DFT, PBE-GGA
State: relaxed

```
8
Lattice="7.612 0.000 0.000 0.000 4.410 0.000 -2.544 0.000 7.182" Properties=species:S:1:pos:R:3 pbc="T T T"
Dy 0.000 0.000 0.000
Er 2.534 0.000 3.591
Er 3.806 2.205 0.000
Th -1.272 2.205 3.591
Sb 1.310 2.205 1.782
Sb 0.041 0.000 5.436
Sb 5.027 0.000 1.746
Sb 3.758 2.205 5.400
```

Values from the calculation:
Space group: P2/m, No. 10
Calculated density: 8.38 Mg/m³
Energy relative to the elements, uncorrected: -8.5 eV/f.u.
Volume: 30.1 Å³/atom


Material: DyErTh2Sb4
Method: DFT, PBE-GGA
State: relaxed

```
8
Lattice="7.646 0.000 0.000 0.000 4.451 0.000 -2.601 0.000 7.258" Properties=species:S:1:pos:R:3 pbc="T T T"
Dy 0.000 0.000 0.000
Er -1.300 2.226 3.629
Th 2.523 0.000 3.629
Th 3.823 2.226 0.000
Sb -0.110 0.000 5.410
Sb 1.190 2.226 1.797
Sb 3.856 2.226 5.461
Sb 5.155 0.000 1.848
```

Values from the calculation:
Space group: P2/m, No. 10
Calculated density: 8.61 Mg/m³
Energy relative to the elements, uncorrected: -8.1 eV/f.u.
Volume: 30.9 Å³/atom


Material: DyEr3Th2Sb6
Method: DFT, PBE-GGA
State: relaxed

```
12
Lattice="9.603 -2.211 0.000 9.603 2.211 0.000 -1.993 0.000 8.576" Properties=species:S:1:pos:R:3 pbc="T T T"
Dy 0.000 0.000 0.000
Er -0.997 0.000 4.288
Er 6.061 0.000 1.422
Er 11.151 0.000 7.154
Th 5.103 0.000 5.738
Th 12.110 0.000 2.838
Sb 1.986 0.000 5.057
Sb 3.052 0.000 0.646
Sb 9.042 0.000 2.144
Sb 8.171 0.000 6.432
Sb 14.160 0.000 7.930
Sb 15.226 0.000 3.519
```

Values from the calculation:
Space group: C2/m, No. 12
Calculated density: 8.48 Mg/m³
Energy relative to the elements, uncorrected: -12.5 eV/f.u.
Volume: 30.3 Å³/atom


Material: DyErTh2Sb5
Method: DFT, PBE-GGA
State: relaxed

```
9
Lattice="5.233 0.000 0.000 0.000 5.233 0.000 0.000 0.000 11.456" Properties=species:S:1:pos:R:3 pbc="T T T"
Dy 0.000 0.000 0.000
Er 0.000 0.000 5.728
Th 2.617 2.617 3.430
Th 2.617 2.617 8.026
Sb 0.000 0.000 2.841
Sb 0.000 0.000 8.615
Sb 0.000 2.617 5.728
Sb 2.617 0.000 5.728
Sb 2.617 2.617 0.000
```

Values from the calculation:
Space group: P4/mmm, No. 123
Calculated density: 7.42 Mg/m³
Energy relative to the elements, uncorrected: -1.9 eV/f.u.
Volume: 34.9 Å³/atom


Material: Dy2ErThSb4
Method: DFT, PBE-GGA
State: relaxed

```
8
Lattice="7.628 0.000 0.000 0.000 4.418 0.000 -2.548 0.000 7.199" Properties=species:S:1:pos:R:3 pbc="T T T"
Dy 0.000 0.000 0.000
Dy 3.814 2.209 0.000
Er -1.274 2.209 3.599
Th 2.540 0.000 3.599
Sb 1.231 2.209 1.761
Sb -0.039 0.000 5.408
Sb 5.119 0.000 1.791
Sb 3.849 2.209 5.437
```

Values from the calculation:
Space group: P2/m, No. 10
Calculated density: 8.29 Mg/m³
Energy relative to the elements, uncorrected: -8.6 eV/f.u.
Volume: 30.3 Å³/atom


Material: Dy3ErTh2Sb6
Method: DFT, PBE-GGA
State: relaxed

```
12
Lattice="9.634 -2.216 0.000 9.634 2.216 0.000 -2.017 0.000 8.599" Properties=species:S:1:pos:R:3 pbc="T T T"
Dy 0.000 0.000 0.000
Dy 5.064 0.000 5.724
Dy 12.187 0.000 2.875
Er -1.008 0.000 4.300
Th 6.119 0.000 1.454
Th 11.132 0.000 7.145
Sb 3.004 0.000 0.760
Sb 2.027 0.000 4.956
Sb 8.071 0.000 6.423
Sb 9.179 0.000 2.176
Sb 15.224 0.000 3.643
Sb 14.247 0.000 7.839
```

Values from the calculation:
Space group: C2/m, No. 12
Calculated density: 8.36 Mg/m³
Energy relative to the elements, uncorrected: -12.7 eV/f.u.
Volume: 30.6 Å³/atom


Material: Dy2ErTmSb4
Method: DFT, PBE-GGA
State: relaxed

```
8
Lattice="7.557 0.000 0.000 0.000 4.366 0.000 -2.519 0.000 7.126" Properties=species:S:1:pos:R:3 pbc="T T T"
Dy 0.000 0.000 0.000
Dy -1.260 2.183 3.563
Er 2.519 0.000 3.563
Tm 3.778 2.183 0.000
Sb 0.019 0.000 5.355
Sb 1.278 2.183 1.784
Sb 5.019 0.000 1.771
Sb 3.759 2.183 5.342
```

Values from the calculation:
Space group: P2/m, No. 10
Calculated density: 8.11 Mg/m³
Energy relative to the elements, uncorrected: -8.9 eV/f.u.
Volume: 29.4 Å³/atom


Material: Dy2ErTm3Sb6
Method: DFT, PBE-GGA
State: relaxed

```
12
Lattice="9.488 -2.177 0.000 9.488 2.177 0.000 -1.988 0.000 8.479" Properties=species:S:1:pos:R:3 pbc="T T T"
Dy 2.497 0.000 2.823
Dy 14.491 0.000 5.656
Er 9.488 0.000 0.000
Tm 1.513 0.000 7.064
Tm 8.494 0.000 4.239
Tm 15.475 0.000 1.414
Sb -1.472 0.000 6.357
Sb 4.496 0.000 7.794
Sb 5.514 0.000 3.519
Sb 11.474 0.000 4.960
Sb 12.492 0.000 0.685
Sb 18.460 0.000 2.122
```

Values from the calculation:
Space group: C2/m, No. 12
Calculated density: 8.20 Mg/m³
Energy relative to the elements, uncorrected: -13.1 eV/f.u.
Volume: 29.2 Å³/atom